# 1
The following is a PBE calculation of a geometry-optimized Mg4CdSn4 structure, from Alexandria.

Cell and atoms, written as extended XYZ:
```
9
Lattice="-2.318 -0.725 2.771 2.480 -7.078 2.561 3.635 3.158 6.257" Properties=species:S:1:pos:R:3 pbc="T T T"
Mg 3.581 1.655 6.984
Mg 0.215 -6.300 4.605
Mg 0.292 -2.843 5.550
Mg 3.505 -1.803 6.038
Cd 0.081 -3.902 2.666
Sn 0.130 -0.346 3.599
Sn 3.666 -4.300 7.990
Sn 2.793 -4.492 4.790
Sn 1.003 -0.154 6.798
```

Values from the calculation:
Calculated formation energy (eV/atom): -0.057



# 2
The following is a PBE calculation of a geometry-optimized Mg3CdSn4 structure, from Alexandria.

Cell and atoms, written as extended XYZ:
```
8
Lattice="-2.450 -3.726 -0.121 3.694 -2.472 1.350 -2.424 1.301 9.011" Properties=species:S:1:pos:R:3 pbc="T T T"
Mg -1.826 -1.541 2.173
Mg -0.590 -2.449 5.121
Mg -3.048 -0.884 6.718
Sn -1.212 0.651 4.506
Sn 0.042 -0.267 7.387
Sn 0.000 0.000 0.000
Sn 1.228 -0.904 2.974
Cd 0.622 -3.099 0.615
```

Values from the calculation:
Calculated formation energy (eV/atom): -0.077



# 3
The following is a PBE calculation of a geometry-optimized Mg3Cd4Sn2 structure, from Alexandria.

Cell and atoms, written as extended XYZ:
```
9
Lattice="-2.130 2.128 -3.246 -5.752 -2.492 5.160 1.834 5.654 2.503" Properties=species:S:1:pos:R:3 pbc="T T T"
Mg -4.517 2.426 1.536
Mg -1.530 2.863 2.881
Mg 0.000 0.000 0.000
Cd -3.528 5.329 2.789
Cd -2.520 -0.039 1.628
Cd -5.107 0.036 3.375
Cd -0.940 5.254 1.042
Sn -1.883 2.533 -0.123
Sn -4.164 2.757 4.540
```

Values from the calculation:
Calculated formation energy (eV/atom): -0.048



# 4
The following is a PBE calculation of a geometry-optimized Mg2Cd6Sn structure, from Alexandria.

Cell and atoms, written as extended XYZ:
```
9
Lattice="-1.861 1.204 -2.218 1.055 -4.866 -5.745 -7.338 -5.328 1.048" Properties=species:S:1:pos:R:3 pbc="T T T"
Mg -2.842 -1.373 -0.577
Mg -5.303 -7.617 -6.337
Cd -1.851 -1.467 -3.677
Cd -6.294 -7.523 -3.237
Cd -3.987 -5.826 -4.252
Cd -1.242 -4.532 -3.636
Cd -6.903 -4.458 -3.278
Cd -4.158 -3.164 -2.663
Sn 0.000 0.000 0.000
```

Values from the calculation:
Calculated formation energy (eV/atom): -0.029
Offset from the most stable computed form (kJ/mol of formula units): 0



# 5
The following is a PBE calculation of a geometry-optimized Mg6CdSn structure, from Alexandria.

Cell and atoms, written as extended XYZ:
```
8
Lattice="4.445 0.000 0.000 0.000 4.445 0.000 0.000 0.000 9.040" Properties=species:S:1:pos:R:3 pbc="T T T"
Mg 2.222 2.222 0.000
Mg 2.222 2.222 4.520
Mg 2.222 0.000 2.241
Mg 2.222 0.000 6.799
Mg 0.000 2.222 2.241
Mg 0.000 2.222 6.799
Cd 0.000 0.000 0.000
Sn 0.000 0.000 4.520
```

Values from the calculation:
Calculated formation energy (eV/atom): -0.102
Offset from the most stable computed form (kJ/mol of formula units): 0



# 6
The following is a PBE calculation of a geometry-optimized Mg2Cd2Sn structure, from Alexandria.

Cell and atoms, written as extended XYZ:
```
10
Lattice="-4.760 -6.622 -2.676 6.822 -3.265 -4.058 0.779 -1.614 2.608" Properties=species:S:1:pos:R:3 pbc="T T T"
Mg 4.156 -4.142 -1.884
Mg 2.837 -7.961 -3.853
Mg -1.315 -7.359 -2.241
Mg 0.004 -3.540 -0.272
Sn 0.000 0.000 0.000
Sn 1.031 -4.943 -3.367
Cd 4.183 -5.332 -4.548
Cd 0.108 -7.832 -4.878
Cd -2.121 -4.555 -2.185
Cd 1.954 -2.055 -1.855
```

Values from the calculation:
Calculated formation energy (eV/atom): -0.040



# 7
The following is a PBE calculation of a geometry-optimized Mg4CdSn2 structure, from Alexandria.

Cell and atoms, written as extended XYZ:
```
7
Lattice="-2.097 -4.215 -3.032 4.730 -2.899 0.759 -3.557 1.175 5.997" Properties=species:S:1:pos:R:3 pbc="T T T"
Mg -2.168 -3.299 0.914
Mg 1.245 -2.641 2.810
Mg -1.048 -2.108 -1.516
Mg 2.365 -1.450 0.380
Cd 0.000 0.000 0.000
Sn 0.729 -4.182 0.139
Sn -1.652 -1.757 3.585
```

Values from the calculation:
Calculated formation energy (eV/atom): 0.051
Offset from the most stable computed form (kJ/mol of formula units): 56



# 8
The following is a PBE calculation of a geometry-optimized Mg3Cd3Sn structure, from Alexandria.

Cell and atoms, written as extended XYZ:
```
14
Lattice="6.858 0.132 4.146 2.402 6.424 4.146 0.187 0.132 8.011" Properties=species:S:1:pos:R:3 pbc="T T T"
Mg 4.419 1.797 3.760
Mg 2.048 0.407 5.704
Mg 1.689 3.572 4.613
Mg 7.757 3.117 11.689
Mg 7.398 6.281 10.599
Mg 5.027 4.892 12.542
Cd 6.884 2.331 6.430
Cd 3.348 5.719 7.088
Cd 2.914 1.259 9.170
Cd 6.532 5.430 7.133
Cd 6.098 0.970 9.214
Cd 2.563 4.358 9.873
Sn 3.801 2.691 6.559
Sn 5.646 3.998 9.743
```

Values from the calculation:
Calculated formation energy (eV/atom): 0.023
Offset from the most stable computed form (kJ/mol of formula units): 0



# 9
The following is a PBE calculation of a geometry-optimized Mg2Cd3Sn structure, from Alexandria.

Cell and atoms, written as extended XYZ:
```
12
Lattice="0.231 0.434 -5.925 2.706 -4.504 -2.782 -9.155 -2.206 3.743" Properties=species:S:1:pos:R:3 pbc="T T T"
Mg -3.728 -1.903 -3.268
Mg 0.855 -0.812 -5.132
Mg -2.490 -4.372 -1.696
Mg 2.081 -3.258 -3.575
Cd 0.891 -3.692 -6.503
Cd -5.727 -4.499 -2.559
Cd -7.110 -2.584 1.539
Cd -0.491 -1.777 -2.405
Cd -2.244 -1.238 -0.178
Cd -3.974 -5.038 -4.786
Sn -1.415 -3.625 -4.582
Sn -4.803 -2.650 -0.381
```

Values from the calculation:
Calculated formation energy (eV/atom): -0.033
Offset from the most stable computed form (kJ/mol of formula units): 0



# 10
The following is a PBE calculation of a geometry-optimized Mg12Cd3Sn structure, from Alexandria.

Cell and atoms, written as extended XYZ:
```
16
Lattice="-1.479 4.194 -0.715 -3.333 -0.672 2.954 10.289 5.832 12.934" Properties=species:S:1:pos:R:3 pbc="T T T"
Mg -2.406 1.761 1.120
Mg 0.184 3.230 4.376
Mg 2.738 4.677 7.587
Mg 5.292 6.125 10.798
Mg 0.575 2.843 1.296
Mg 3.136 4.294 4.515
Mg 5.673 5.733 7.705
Mg 8.234 7.184 10.924
Mg -0.352 0.409 3.130
Mg 2.209 1.861 6.349
Mg 4.746 3.299 9.539
Mg 7.307 4.751 12.759
Cd 2.600 1.474 3.269
Cd 5.144 2.916 6.467
Cd 7.688 4.358 9.665
Sn 0.000 0.000 0.000
```

Values from the calculation:
Calculated formation energy (eV/atom): -0.078



# 11
The following is a PBE calculation of a geometry-optimized MgCdSn3 structure, from Alexandria.

Cell and atoms, written as extended XYZ:
```
5
Lattice="-4.436 -1.349 2.815 3.093 -2.562 3.647 0.423 4.587 2.864" Properties=species:S:1:pos:R:3 pbc="T T T"
Mg 0.000 0.000 0.000
Sn 1.546 -1.281 1.823
Sn 0.211 2.294 1.432
Sn -2.218 -0.674 1.408
Cd -0.460 0.339 4.663
```

Values from the calculation:
Calculated formation energy (eV/atom): 0.440
Offset from the most stable computed form (kJ/mol of formula units): 203



# 12
The following is a PBE calculation of a geometry-optimized Mg6Cd2Sn structure, from Alexandria.

Cell and atoms, written as extended XYZ:
```
9
Lattice="4.484 0.000 0.000 -2.242 4.906 0.705 0.000 1.487 9.448" Properties=species:S:1:pos:R:3 pbc="T T T"
Mg 2.242 3.020 9.163
Mg 0.000 3.373 0.990
Mg 0.000 0.266 1.600
Mg 0.000 3.878 4.162
Mg 2.242 6.127 8.554
Mg 2.242 2.515 5.991
Cd 0.000 4.260 7.413
Cd 2.242 2.133 2.740
Sn 0.000 0.744 4.724
```

Values from the calculation:
Calculated formation energy (eV/atom): -0.077



# 13
The following is a PBE calculation of a geometry-optimized Mg17Cd11Sn structure, from Alexandria.

Cell and atoms, written as extended XYZ:
```
29
Lattice="-1.069 -2.104 -8.950 1.956 -7.592 4.920 -8.362 3.745 3.306" Properties=species:S:1:pos:R:3 pbc="T T T"
Mg -1.833 -8.466 -2.950
Mg -1.709 -5.589 -1.838
Mg -4.886 -3.854 -0.459
Mg -5.737 -1.223 0.768
Mg -7.322 -5.889 -0.733
Mg -7.531 -1.433 3.399
Mg -2.394 -4.794 1.270
Mg -4.414 -0.128 3.484
Mg -0.403 -4.755 -7.145
Mg -4.709 -3.275 3.128
Mg -3.273 -0.114 -4.355
Mg -1.452 -3.415 3.989
Mg -5.940 -1.043 -2.514
Mg 1.536 -8.272 1.743
Mg -5.346 1.562 -0.787
Mg -3.353 -3.056 -3.123
Mg -8.373 0.094 -0.459
Cd -6.632 1.286 1.955
Cd 0.923 -7.484 -1.581
Cd -2.830 -1.858 1.521
Cd -3.991 -6.880 -0.235
Cd -7.447 1.640 -2.864
Cd -2.057 -2.550 -5.690
Cd -0.198 -5.921 2.831
Cd -5.585 -1.736 5.669
Cd -4.577 -5.818 -2.920
Cd -3.424 -0.782 -1.201
Cd 0.349 -6.445 -4.208
Sn -1.156 -2.804 -0.857
```

Values from the calculation:
Calculated formation energy (eV/atom): -0.063



# 14
The following is a PBE calculation of a geometry-optimized Mg4Cd3Sn structure, from Alexandria.

Cell and atoms, written as extended XYZ:
```
16
Lattice="-3.031 4.544 -0.755 -5.247 -3.454 0.277 -0.400 1.424 10.179" Properties=species:S:1:pos:R:3 pbc="T T T"
Mg -5.470 -0.332 -0.169
Mg -5.671 0.380 4.921
Mg -2.808 1.421 -0.309
Mg -3.008 2.133 4.781
Mg -4.655 -0.954 7.746
Mg -6.703 1.703 2.097
Mg -4.023 3.467 1.955
Mg -1.976 0.810 7.605
Sn -2.624 -1.727 0.138
Sn -2.824 -1.015 5.228
Cd 0.000 0.000 0.000
Cd -0.200 0.712 5.090
Cd -2.212 3.934 7.159
Cd -1.219 2.034 2.266
Cd -4.788 2.135 7.309
Cd -3.890 0.378 2.393
```

Values from the calculation:
Calculated formation energy (eV/atom): -0.096



# 15
The following is a PBE calculation of a geometry-optimized Mg3Cd6Sn structure, from Alexandria.

Cell and atoms, written as extended XYZ:
```
20
Lattice="-3.925 -0.504 -3.186 2.593 -9.634 -1.672 -6.422 1.299 7.707" Properties=species:S:1:pos:R:3 pbc="T T T"
Mg -4.001 -8.573 2.605
Mg -8.038 -6.309 3.171
Mg -2.931 -3.475 3.329
Mg -3.667 -5.215 0.459
Mg -5.357 -0.472 -1.056
Mg -1.319 -2.736 -1.622
Cd -6.215 -6.897 0.717
Cd -5.042 -5.687 3.131
Cd -6.312 -4.143 5.226
Cd -4.489 -8.986 -0.306
Cd 0.353 -9.269 -2.588
Cd -5.857 -2.702 2.541
Cd -0.954 -6.016 1.075
Cd -9.651 0.232 4.186
Cd -4.410 0.000 2.226
Cd -2.587 -4.843 -3.305
Cd -4.607 -3.395 -1.819
Cd -3.434 -2.185 0.595
Sn -4.737 -1.392 5.060
Sn -2.020 -7.319 -1.401
```

Values from the calculation:
Calculated formation energy (eV/atom): -0.017
Offset from the most stable computed form (kJ/mol of formula units): 0



# 16
The following is a PBE calculation of a geometry-optimized Mg4Cd4Sn structure, from Alexandria.

Cell and atoms, written as extended XYZ:
```
9
Lattice="4.186 0.000 1.418 2.093 6.767 0.709 -0.078 0.000 7.118" Properties=species:S:1:pos:R:3 pbc="T T T"
Mg 2.015 2.272 7.826
Mg 4.186 4.494 1.418
Mg 4.837 6.766 6.383
Mg 1.364 0.000 2.861
Cd 1.366 4.499 2.856
Cd 4.835 2.267 6.388
Cd 3.459 2.267 3.565
Cd 2.743 4.500 5.679
Sn 0.000 0.000 0.000
```

Values from the calculation:
Calculated formation energy (eV/atom): -0.078
Offset from the most stable computed form (kJ/mol of formula units): 0



# 17
The following is a PBE calculation of a geometry-optimized Mg4Cd5Sn structure, from Alexandria.

Cell and atoms, written as extended XYZ:
```
10
Lattice="3.625 0.000 0.000 0.000 3.625 0.000 0.000 0.000 17.160" Properties=species:S:1:pos:R:3 pbc="T T T"
Mg 0.000 0.000 3.662
Mg 0.000 0.000 6.944
Mg 0.000 0.000 10.216
Mg 0.000 0.000 13.499
Cd 1.813 1.813 2.018
Cd 1.813 1.813 5.315
Cd 1.813 1.813 8.580
Cd 1.813 1.813 11.845
Cd 1.813 1.813 15.142
Sn 0.000 0.000 0.000
```

Values from the calculation:
Calculated formation energy (eV/atom): -0.048
Offset from the most stable computed form (kJ/mol of formula units): 3



# 18
The following is a PBE calculation of a geometry-optimized Mg6CdSn structure, from Alexandria.

Cell and atoms, written as extended XYZ:
```
8
Lattice="3.353 -5.416 0.000 3.353 5.416 0.000 0.000 0.000 5.011" Properties=species:S:1:pos:R:3 pbc="T T T"
Mg 1.682 0.936 2.505
Mg 5.023 0.936 2.505
Mg 1.718 -0.930 0.000
Mg 4.988 -0.930 0.000
Mg 3.353 1.782 0.000
Mg 3.353 -3.637 0.000
Cd 3.353 -1.794 2.505
Sn 3.353 3.637 2.505
```

Values from the calculation:
Calculated formation energy (eV/atom): -0.062
Offset from the most stable computed form (kJ/mol of formula units): 30



# 19
The following is a PBE calculation of a geometry-optimized SrMgCdSn structure, from Alexandria.

Cell and atoms, written as extended XYZ:
```
4
Lattice="5.391 0.000 0.000 2.695 4.668 0.000 2.695 1.556 4.401" Properties=species:S:1:pos:R:3 pbc="T T T"
Sr 5.391 3.112 2.201
Mg 0.000 0.000 0.000
Sn 2.695 1.556 1.100
Cd 8.086 4.668 3.301
```

Values from the calculation:
Calculated formation energy (eV/atom): -0.335



# 20
The following is a PBE calculation of a geometry-optimized Sr2Mg3CdSn4 structure, from Alexandria.

Cell and atoms, written as extended XYZ:
```
10
Lattice="-1.102 -0.734 -4.621 -4.469 -1.242 1.263 -3.540 11.701 -1.016" Properties=species:S:1:pos:R:3 pbc="T T T"
Sr -1.434 2.551 -2.564
Sr -4.892 8.162 -0.131
Mg -1.770 5.851 -0.508
Mg -3.614 9.758 -3.189
Mg -2.711 0.955 0.494
Cd -4.555 4.862 -2.187
Sn -2.785 -0.988 -1.679
Sn 0.000 0.000 0.000
Sn -2.816 7.119 -2.960
Sn -3.510 3.594 0.265
```

Values from the calculation:
Calculated formation energy (eV/atom): -0.399